Here is a geometry-optimized Dy2PaRh structure from Alexandria via LeMat-Bulk. Energies are from GGA-PBE.

Summary:
- space-group type = P4/mmm, No. 123
- calculated volume (Å³ per cell) = 95.9
- energy relative to the lowest polymorph listed for this composition (kJ per mole of atoms) = 0.0
- energy of formation (eV per atom) = -0.287
- crystal system = tetragonal
- D(E_F) (states/eV/atom) = 1.206

Cell: 3.390 3.390 8.343 Å, 90.00 90.00 90.00°
Fractional coordinates of all 4 atoms:
Dy (0.000, 0.000, 0.205)
Dy (0.000, 0.000, 0.795)
Pa (0.500, 0.500, 0.500)
Rh (0.500, 0.500, 0.000)